## EuLuRh2 (PBE)

Data for EuLuRh2 after structural relaxation.

a = 4.8471 Å, b = 4.8471 Å, c = 4.8471 Å
α = 60.00°, β = 60.00°, γ = 60.00°
Site moments in Bohr magnetons follow the coordinates.
Positions (direct):
1 Eu 0.0000 0.0000 0.0000  6.67
2 Lu 0.5000 0.5000 0.5000  0.03
3 Rh 0.2500 0.2500 0.2500  -0.05
4 Rh 0.7500 0.7500 0.7500  -0.05

## Properties
**Raw total energy**: -8.013 eV per atom
**DFT formation energy**: -0.64 eV per atom



## Nd3Zn4Au4 (PBE)

Data for Nd3Zn4Au4 after structural relaxation.

a = 3.8348 Å, b = 4.4698 Å, c = 14.3396 Å
α = 81.25°, β = 82.36°, γ = 90.22°
Positions (direct):
1 Nd 0.1460 0.6454 0.7083
2 Nd 0.8541 0.3547 0.2917
3 Nd 0.0000 0.0000 0.0000
4 Zn 0.5969 0.0958 0.8069
5 Zn 0.2561 0.2578 0.4887
6 Zn 0.7439 0.7422 0.5113
7 Zn 0.4031 0.9043 0.1931
8 Au 0.5495 0.5503 0.8991
9 Au 0.4506 0.4498 0.1009
10 Au 0.3097 0.8121 0.3796
11 Au 0.6904 0.1879 0.6204

## Properties
**Raw total energy**: -3.553 eV per atom
**DFT formation energy**: -0.60 eV per atom



## LiReAu2 (PBE)

Data for LiReAu2 after structural relaxation.

a = 5.7604 Å, b = 5.7604 Å, c = 5.7604 Å
α = 152.81°, β = 129.89°, γ = 57.94°
Site moments in Bohr magnetons follow the coordinates.
Positions (direct):
1 Au 0.0039 0.0039 0.0000  0.03
2 Au 0.7475 0.2475 0.5000  0.04
3 Li 0.5059 0.5059 0.0000  0.00
4 Re 0.2426 0.7426 0.5000  0.75

## Properties
**Raw total energy**: -4.969 eV per atom
**DFT formation energy**: 0.26 eV per atom



## Pm2SmTmTe5 (PBE)

Data for Pm2SmTmTe5 after structural relaxation.

a = 5.4822 Å, b = 5.4822 Å, c = 11.6772 Å
α = 90.00°, β = 90.00°, γ = 90.00°
Site moments in Bohr magnetons follow the coordinates.
Positions (direct):
1 Pm 0.5000 0.5000 0.3416  0.13
2 Pm 0.5000 0.5000 0.6584  0.13
3 Sm 0.0000 0.0000 0.0000  0.01
4 Tm 0.0000 0.0000 0.5000  0.02
5 Te 0.0000 0.5000 0.5000  0.00
6 Te 0.5000 0.0000 0.5000  0.00
7 Te 0.0000 0.0000 0.7504  0.00
8 Te 0.0000 0.0000 0.2496  0.00
9 Te 0.5000 0.5000 0.0000  0.01

## Properties
**Raw total energy**: -4.635 eV per atom
**Formation energy (no corrections)**: -7.31 eV/f.u.



## Tb2CdFeC (PBE)

Data for Tb2CdFeC after structural relaxation.

a = 3.7162 Å, b = 5.0772 Å, c = 5.0772 Å
α = 90.00°, β = 90.00°, γ = 90.00°
Site moments in Bohr magnetons follow the coordinates.
Positions (direct):
1 Tb 0.0000 0.0000 0.5000  -0.03
2 Tb 0.0000 0.5000 0.0000  -0.03
3 Cd 0.5000 0.5000 0.5000  0.00
4 Fe 0.5000 0.0000 0.0000  0.29
5 C 0.0000 0.0000 0.0000  -0.01

## Properties
**Raw total energy**: -5.864 eV per atom
**DFT formation energy**: -0.29 eV per atom



## CeAlB12 (PBE)

Data for CeAlB12 after structural relaxation.

a = 4.1483 Å, b = 4.1483 Å, c = 8.3531 Å
α = 90.00°, β = 90.00°, γ = 90.00°
Site moments in Bohr magnetons follow the coordinates.
Positions (direct):
1 Ce 0.0000 0.0000 0.5000  0.81
2 Al 0.0000 0.0000 0.0000  0.00
3 B 0.2008 0.5000 0.2532  0.00
4 B 0.2008 0.5000 0.7468  0.00
5 B 0.5000 0.5000 0.4014  -0.01
6 B 0.5000 0.5000 0.8981  0.00
7 B 0.5000 0.2008 0.2532  0.00
8 B 0.5000 0.2008 0.7468  0.00
9 B 0.5000 0.5000 0.1019  0.00
10 B 0.5000 0.5000 0.5986  -0.01
11 B 0.5000 0.7992 0.2532  0.00
12 B 0.5000 0.7992 0.7468  0.00
13 B 0.7992 0.5000 0.2532  0.00
14 B 0.7992 0.5000 0.7468  0.00

## Properties
**Raw total energy**: -6.528 eV per atom
**DFT formation energy**: -0.11 eV per atom



## InGa6Cl12 (PBE)

Data for InGa6Cl12 after structural relaxation.

a = 10.8636 Å, b = 10.8636 Å, c = 10.8637 Å
α = 116.77°, β = 116.77°, γ = 116.77°
Site moments in Bohr magnetons follow the coordinates.
Positions (direct):
1 In 0.0000 0.0000 0.0000  0.00
2 Ga 0.1096 0.2344 0.3722  0.06
3 Ga 0.7656 0.6278 0.8904  0.06
4 Ga 0.6278 0.8904 0.7656  0.06
5 Ga 0.8904 0.7656 0.6278  0.06
6 Ga 0.2344 0.3722 0.1096  0.06
7 Ga 0.3722 0.1096 0.2344  0.06
8 Cl 0.6110 0.2873 0.6011  0.03
9 Cl 0.2873 0.6011 0.6110  0.03
10 Cl 0.6011 0.6110 0.2873  0.03
11 Cl 0.3890 0.7127 0.3989  0.03
12 Cl 0.7127 0.3989 0.3890  0.03
13 Cl 0.3989 0.3890 0.7127  0.03
14 Cl 0.1982 0.9807 0.7450  0.02
15 Cl 0.2550 0.8018 0.0193  0.02
16 Cl 0.0193 0.2550 0.8018  0.02
17 Cl 0.8018 0.0193 0.2550  0.02
18 Cl 0.7450 0.1982 0.9807  0.02
19 Cl 0.9807 0.7450 0.1982  0.02

## Properties
**Raw total energy**: -3.072 eV per atom
**Formation energy (no corrections)**: -15.30 eV/f.u.



## LaPm2Pr3P6 (PBE)

Data for LaPm2Pr3P6 after structural relaxation.

a = 7.2615 Å, b = 7.2615 Å, c = 7.2615 Å
α = 99.59°, β = 99.59°, γ = 120.00°
Positions (direct):
1 La 0.0000 0.0000 0.0000
2 Pm 0.3332 0.6668 0.0000
3 Pm 0.6668 0.3332 0.0000
4 Pr 0.1663 0.8337 0.5000
5 Pr 0.8337 0.1663 0.5000
6 Pr 0.5000 0.5000 0.5000
7 P 0.9174 0.5807 0.7520
8 P 0.7459 0.7459 0.2476
9 P 0.0826 0.4193 0.2480
10 P 0.5807 0.9174 0.7520
11 P 0.2541 0.2541 0.7524
12 P 0.4193 0.0826 0.2480

## Properties
**Raw total energy**: -6.642 eV per atom
**DFT formation energy**: -1.54 eV per atom



What did the eighth record say?
## LaPm2Pr3P6 (PBE)

Data for LaPm2Pr3P6 after structural relaxation.

a = 7.2615 Å, b = 7.2615 Å, c = 7.2615 Å
α = 99.59°, β = 99.59°, γ = 120.00°
Positions (direct):
1 La 0.0000 0.0000 0.0000
2 Pm 0.3332 0.6668 0.0000
3 Pm 0.6668 0.3332 0.0000
4 Pr 0.1663 0.8337 0.5000
5 Pr 0.8337 0.1663 0.5000
6 Pr 0.5000 0.5000 0.5000
7 P 0.9174 0.5807 0.7520
8 P 0.7459 0.7459 0.2476
9 P 0.0826 0.4193 0.2480
10 P 0.5807 0.9174 0.7520
11 P 0.2541 0.2541 0.7524
12 P 0.4193 0.0826 0.2480

## Properties
**Raw total energy**: -6.642 eV per atom
**DFT formation energy**: -1.54 eV per atom



Question: What is the raw total energy in the third record?
Answer: -4.969 eV per atom



Question: Among the records above, which one has the highest raw total energy?
Answer: InGa6Cl12



Question: What is the raw total energy in the second record?
Answer: -3.553 eV per atom